The following is a GGA-PBEsol calculation of a relaxed Mg2MnAl crystal, from Alexandria via LeMat-Bulk.

Geometry as CIF:
```
data_Mg2MnAl
_cell_length_a 2.955
_cell_length_b 2.955
_cell_length_c 7.870
_cell_angle_alpha 90.00
_cell_angle_beta 90.00
_cell_angle_gamma 90.00
_symmetry_space_group_name_H-M 'P 1'
_symmetry_Int_Tables_number 1
loop_
_symmetry_equiv_pos_as_xyz
'x,y,z'
loop_
_atom_site_label
_atom_site_fract_x
_atom_site_fract_y
_atom_site_fract_z
Mn1 0.000 0.000 0.522
Al1 0.500 0.500 0.709
Mg1 0.500 0.500 0.290
Mg2 0.000 0.000 0.979
```

Calculated values
DOS(E_F) = 2.3 states/eV/f.u.
SG = P4mm (99)
formation energy = 0.084 eV/atom



The following is a GGA-PBEsol calculation of a relaxed Mg16MnAl12 crystal, from Alexandria via LeMat-Bulk.

Geometry as CIF:
```
data_Mg16MnAl12
_cell_length_a 8.936
_cell_length_b 8.936
_cell_length_c 8.936
_cell_angle_alpha 108.89
_cell_angle_beta 108.89
_cell_angle_gamma 108.89
_symmetry_space_group_name_H-M 'P 1'
_symmetry_Int_Tables_number 1
loop_
_symmetry_equiv_pos_as_xyz
'x,y,z'
loop_
_atom_site_label
_atom_site_fract_x
_atom_site_fract_y
_atom_site_fract_z
Mg1 0.996 0.317 0.596
Al1 0.995 0.633 0.814
Al2 0.167 0.356 0.356
Mg2 0.008 0.008 0.008
Al3 0.187 0.187 0.807
Mg3 0.681 0.681 0.281
Mg4 0.681 0.281 0.681
Mg5 0.703 0.415 0.415
Al4 0.356 0.356 0.167
Mn1 0.713 0.713 0.713
Mg6 0.415 0.415 0.703
Al5 0.814 0.633 0.995
Al6 0.187 0.807 0.187
Al7 0.633 0.995 0.814
Mg7 0.317 0.596 0.996
Mg8 0.348 0.996 0.996
Mg9 0.996 0.596 0.317
Al8 0.633 0.814 0.995
Mg10 0.415 0.703 0.415
Mg11 0.281 0.681 0.681
Mg12 0.996 0.996 0.348
Al9 0.995 0.814 0.633
Al10 0.814 0.995 0.633
Mg13 0.317 0.996 0.596
Mg14 0.596 0.996 0.317
Al11 0.356 0.167 0.356
Al12 0.807 0.187 0.187
Mg15 0.596 0.317 0.996
Mg16 0.996 0.348 0.996
```

Calculated values
DOS(E_F) = 11.5 states/eV/f.u.
SG = R3m (160)
formation energy = 0.014 eV/atom



The following is a GGA-PBEsol calculation of a relaxed MgMn2Al crystal, from Alexandria via LeMat-Bulk.

Geometry as CIF:
```
data_MgMn2Al
_cell_length_a 2.694
_cell_length_b 2.694
_cell_length_c 8.811
_cell_angle_alpha 81.21
_cell_angle_beta 81.21
_cell_angle_gamma 60.00
_symmetry_space_group_name_H-M 'P 1'
_symmetry_Int_Tables_number 1
loop_
_symmetry_equiv_pos_as_xyz
'x,y,z'
loop_
_atom_site_label
_atom_site_fract_x
_atom_site_fract_y
_atom_site_fract_z
Al1 0.500 0.500 0.500
Mg1 0.000 0.000 0.000
Mn1 0.755 0.755 0.736
Mn2 0.245 0.245 0.264
```

Calculated values
DOS(E_F) = 3.9 states/eV/f.u.
SG = R-3m (166)
formation energy = 0.293 eV/atom



The following is a GGA-PBEsol calculation of a relaxed Mg30MnAlO32 crystal, from Alexandria via LeMat-Bulk.

Geometry as CIF:
```
data_Mg30MnAlO32
_cell_length_a 8.443
_cell_length_b 8.468
_cell_length_c 8.468
_cell_angle_alpha 90.00
_cell_angle_beta 90.00
_cell_angle_gamma 90.00
_symmetry_space_group_name_H-M 'P 1'
_symmetry_Int_Tables_number 1
loop_
_symmetry_equiv_pos_as_xyz
'x,y,z'
loop_
_atom_site_label
_atom_site_fract_x
_atom_site_fract_y
_atom_site_fract_z
Mg1 0.500 0.749 0.251
O1 0.750 0.250 0.250
Al1 0.000 0.000 0.000
Mg2 0.000 0.748 0.252
O2 0.236 0.000 0.000
O3 0.744 0.500 0.500
Mg3 0.000 0.748 0.748
O4 0.000 0.500 0.236
Mg4 0.250 0.500 0.750
O5 0.000 0.000 0.767
O6 0.000 0.767 0.000
O7 0.250 0.750 0.750
O8 0.750 0.750 0.250
O9 0.500 0.500 0.248
O10 0.500 0.500 0.752
O11 0.500 0.000 0.753
Mg5 0.250 0.750 0.500
Mg6 0.250 0.749 0.000
Mg7 0.250 0.000 0.749
O12 0.000 0.236 0.500
O13 0.250 0.000 0.500
O14 0.500 0.247 0.000
Mn1 0.000 0.500 0.500
O15 0.750 0.000 0.500
Mg8 0.250 0.250 0.500
Mg9 0.500 0.000 0.000
O16 0.250 0.500 0.000
Mg10 0.000 0.252 0.252
Mg11 0.750 0.500 0.750
Mg12 0.750 0.500 0.250
Mg13 0.750 0.000 0.749
Mg14 0.000 0.252 0.748
O17 0.500 0.752 0.500
O18 0.764 0.000 0.000
Mg15 0.000 0.000 0.500
O19 0.250 0.250 0.250
O20 0.750 0.500 0.000
Mg16 0.250 0.251 0.000
Mg17 0.750 0.000 0.251
Mg18 0.500 0.000 0.500
Mg19 0.750 0.750 0.500
Mg20 0.500 0.500 0.000
Mg21 0.250 0.000 0.251
Mg22 0.750 0.749 0.000
O21 0.000 0.000 0.233
Mg23 0.500 0.251 0.749
O22 0.500 0.753 0.000
O23 0.000 0.764 0.500
O24 0.000 0.500 0.764
O25 0.256 0.500 0.500
Mg24 0.500 0.251 0.251
Mg25 0.750 0.250 0.500
O26 0.500 0.000 0.247
Mg26 0.750 0.251 0.000
O27 0.000 0.233 0.000
O28 0.250 0.250 0.750
O29 0.750 0.750 0.750
Mg27 0.500 0.500 0.500
Mg28 0.250 0.500 0.250
O30 0.250 0.750 0.250
O31 0.750 0.250 0.750
Mg29 0.000 0.500 0.000
Mg30 0.500 0.749 0.749
O32 0.500 0.248 0.500
```

Calculated values
DOS(E_F) = 4.0 states/eV/f.u.
SG = P4/mmm (123)
uncorrected energy = -403.691 eV per cell



The following is a GGA-PBEsol calculation of a relaxed MgMnAlRu2 crystal, from Alexandria via LeMat-Bulk.

Geometry as CIF:
```
data_MgMnAlRu2
_cell_length_a 4.327
_cell_length_b 4.327
_cell_length_c 4.502
_cell_angle_alpha 90.00
_cell_angle_beta 90.00
_cell_angle_gamma 90.00
_symmetry_space_group_name_H-M 'P 1'
_symmetry_Int_Tables_number 1
loop_
_symmetry_equiv_pos_as_xyz
'x,y,z'
loop_
_atom_site_label
_atom_site_fract_x
_atom_site_fract_y
_atom_site_fract_z
Ru1 0.500 0.000 0.000
Mn1 0.000 0.000 0.000
Ru2 0.000 0.500 0.000
Mg1 0.000 0.000 0.500
Al1 0.500 0.500 0.500
```

Calculated values
DOS(E_F) = 4.4 states/eV/f.u.
SG = P4/mmm (123)
formation energy = 0.920 eV/atom



The following is a GGA-PBEsol calculation of a relaxed MgMnAlS4 crystal, from Alexandria via LeMat-Bulk.

Geometry as CIF:
```
data_MgMnAlS4
_cell_length_a 7.153
_cell_length_b 7.153
_cell_length_c 7.153
_cell_angle_alpha 88.87
_cell_angle_beta 60.61
_cell_angle_gamma 119.32
_symmetry_space_group_name_H-M 'P 1'
_symmetry_Int_Tables_number 1
loop_
_symmetry_equiv_pos_as_xyz
'x,y,z'
loop_
_atom_site_label
_atom_site_fract_x
_atom_site_fract_y
_atom_site_fract_z
Al1 0.500 0.000 0.000
Al2 0.000 0.000 0.500
S1 0.475 0.238 0.786
Mg1 0.250 0.625 0.625
S2 0.975 0.762 0.763
S3 0.974 0.213 0.761
S4 0.474 0.235 0.239
Mg2 0.750 0.375 0.375
Mn1 0.500 0.500 0.000
S5 0.526 0.765 0.761
S6 0.525 0.762 0.214
Mn2 0.000 0.000 0.000
S7 0.025 0.238 0.237
S8 0.026 0.787 0.239
```

Calculated values
DOS(E_F) = 1.9 states/eV/f.u.
SG = Imma (74)
uncorrected energy = -79.701 eV per cell



The following is a GGA-PBEsol calculation of a relaxed Mg2Mn3AlS8 crystal, from Alexandria via LeMat-Bulk.

Geometry as CIF:
```
data_Mg2Mn3AlS8
_cell_length_a 7.153
_cell_length_b 7.153
_cell_length_c 7.153
_cell_angle_alpha 59.78
_cell_angle_beta 59.78
_cell_angle_gamma 59.78
_symmetry_space_group_name_H-M 'P 1'
_symmetry_Int_Tables_number 1
loop_
_symmetry_equiv_pos_as_xyz
'x,y,z'
loop_
_atom_site_label
_atom_site_fract_x
_atom_site_fract_y
_atom_site_fract_z
Mg1 0.125 0.125 0.125
Mn1 0.500 0.000 0.500
Mn2 0.500 0.500 0.000
S1 0.711 0.263 0.263
S2 0.738 0.738 0.738
S3 0.262 0.262 0.262
S4 0.289 0.737 0.737
S5 0.263 0.263 0.711
Al1 0.500 0.500 0.500
Mg2 0.875 0.875 0.875
Mn3 0.000 0.500 0.500
S6 0.737 0.737 0.289
S7 0.263 0.711 0.263
S8 0.737 0.289 0.737
```

Calculated values
DOS(E_F) = 7.3 states/eV/f.u.
SG = R-3m (166)
uncorrected energy = -83.578 eV per cell



The following is a GGA-PBEsol calculation of a relaxed MgTi2MnAl crystal, from Alexandria via LeMat-Bulk.

Geometry as CIF:
```
data_MgTi2MnAl
_cell_length_a 4.355
_cell_length_b 4.355
_cell_length_c 4.815
_cell_angle_alpha 90.00
_cell_angle_beta 90.00
_cell_angle_gamma 90.00
_symmetry_space_group_name_H-M 'P 1'
_symmetry_Int_Tables_number 1
loop_
_symmetry_equiv_pos_as_xyz
'x,y,z'
loop_
_atom_site_label
_atom_site_fract_x
_atom_site_fract_y
_atom_site_fract_z
Mg1 0.000 0.000 0.500
Mn1 0.000 0.000 0.000
Al1 0.500 0.500 0.500
Ti1 0.500 0.000 0.000
Ti2 0.000 0.500 0.000
```

Calculated values
DOS(E_F) = 5.7 states/eV/f.u.
SG = P4/mmm (123)
formation energy = 0.451 eV/atom